# ScBNO2 (PBE-GGA, optimized geometry)
# uncorrected formation energy: 0.408 eV/atom
# total moment: 3.00 μB per formula unit
# total DFT energy (no corrections): -29.2 eV/cell
data_ScBNO2
_chemical_formula_sum 'Sc1 B1 N1 O2'
_cell_length_a 4.073
_cell_length_b 4.073
_cell_length_c 4.389
_cell_angle_alpha 90.00
_cell_angle_beta 90.00
_cell_angle_gamma 90.00
_space_group_name_H-M_alt 'P 4/m m m'
_space_group_IT_number 123
_space_group_name_Hall '-P 4 2'
loop_
_atom_site_label
_atom_site_type_symbol
_atom_site_fract_x
_atom_site_fract_y
_atom_site_fract_z
Sc1 Sc 0.000 0.000 0.000
B1 B 0.500 0.500 0.500
N1 N 0.000 0.000 0.500
O1 O 0.000 0.500 0.000